An optimized crystal structure of LiCe2Hg. Source: Alexandria via LeMat-Bulk, functional GGA-PBE.

Calculated values
E above lowest polymorph (meV per atom): 179
Energy relative to the elements (kJ per mole of atoms): 8
Raw total energy (eV per atom): -3.435

Lattice parameters (Å, degrees): 12.2166 12.2166 12.2166 14.56 14.56 14.56
Fractional coordinates of all 4 atoms:
Li 0.0000 0.0000 0.0000
Ce 0.0882 0.0882 0.0882
Ce 0.9118 0.9118 0.9118
Hg 0.5000 0.5000 0.5000

An optimized crystal structure of MgTl2Br4. Source: Alexandria via LeMat-Bulk, functional GGA-PBE.

Calculated values
Energy relative to the elements, uncorrected (eV per atom): -1.09
E above lowest polymorph (meV per atom): 20
Raw total energy (eV per atom): -2.950

Lattice parameters (Å, degrees): 9.0893 9.0893 9.0893 145.91 145.91 48.98
Fractional coordinates of all 7 atoms:
Mg 0.0000 0.0000 0.0000
Tl 0.3584 0.3584 0.0000
Tl 0.6416 0.6416 0.0000
Br 0.0000 0.5000 0.5000
Br 0.1615 0.1615 0.0000
Br 0.5000 0.0000 0.5000
Br 0.8385 0.8385 0.0000

An optimized crystal structure of Y7PI12. Source: Alexandria via LeMat-Bulk, functional GGA-PBE.

Calculated values
Energy relative to the elements, uncorrected (eV per atom): -1.35
Raw total energy (eV per atom): -4.810

Lattice parameters (Å, degrees): 9.6972 9.6972 9.6972 107.90 107.90 107.90
Fractional coordinates of all 20 atoms:
Y 0.0000 0.0000 0.0000
Y 0.1993 0.4697 0.4003
Y 0.4003 0.1993 0.4697
Y 0.4697 0.4003 0.1993
Y 0.5303 0.5997 0.8007
Y 0.5997 0.8007 0.5303
Y 0.8007 0.5303 0.5997
P 0.5000 0.5000 0.5000
I 0.0337 0.1134 0.3462
I 0.1134 0.3462 0.0337
I 0.1864 0.5776 0.7269
I 0.2731 0.8136 0.4224
I 0.3462 0.0337 0.1134
I 0.4224 0.2731 0.8136
I 0.5776 0.7269 0.1864
I 0.6538 0.9663 0.8866
I 0.7269 0.1864 0.5776
I 0.8136 0.4224 0.2731
I 0.8866 0.6538 0.9663
I 0.9663 0.8866 0.6538